# 1
Entry from Alexandria via LeMat-Bulk: a relaxed structure of La6Ge2Pd (PBE).

```
9
Lattice="-1.4900 0.4049 -4.1481 1.5211 -8.0309 -1.3302 -7.3833 2.3953 2.8859" Properties=species:S:1:pos:R:3 pbc="T T T"
Pd -0.7473 0.2002 -2.0734
La -3.4566 -6.4548 -1.7498
Ge -1.4476 -4.5543 0.0755
La -7.2558 -2.0063 0.0491
La -3.2452 -2.2012 -1.4105
La -0.3373 -7.4263 -0.6037
Ge -4.4141 -1.0808 1.4801
La -6.9988 0.3738 2.5505
La -4.3882 -4.2186 1.1645
```

- DOS at the Fermi energy (states/eV/atom) = 1.435
- calculated formation energy (meV per atom) = -601
- mass density (g cm⁻³) = 6.86
- crystal system = hexagonal

# 2
Entry from Alexandria via LeMat-Bulk: a relaxed structure of La2GePd6 (PBE).

```
9
Lattice="5.7741 0.0000 0.0000 -2.8870 4.8816 1.1101 0.0000 0.1038 6.2175" Properties=species:S:1:pos:R:3 pbc="T T T"
La 2.8870 1.3715 1.3947
Pd -1.4041 3.5919 2.7515
Ge 0.0000 0.0000 0.0000
Pd 1.4041 3.5919 2.7515
Pd 2.8870 3.7638 5.1493
Pd 0.0000 1.2216 2.1783
Pd 4.2912 1.3936 4.5761
La 0.0000 3.6140 5.9330
Pd 1.4829 1.3936 4.5761
```

- DOS at the Fermi energy (states/eV/atom) = 0.525
- calculated formation energy (meV per atom) = -793
- mass density (g cm⁻³) = 9.41
- crystal system = monoclinic

# 3
Entry from Alexandria via LeMat-Bulk: a relaxed structure of La6Ge3Pd (PBE).

```
20
Lattice="6.3335 0.0000 -0.1235 0.0000 8.5129 0.0000 -0.0775 0.0000 11.3539" Properties=species:S:1:pos:R:3 pbc="T T T"
La 5.5101 8.2071 2.6871
La 5.5400 5.7133 6.4850
La 3.8909 1.4681 6.4008
Ge 3.6876 7.4752 8.3769
La 2.4119 7.0561 0.8698
Pd 0.0000 0.0000 0.0000
Ge 3.1668 4.2565 -0.0618
La 3.8441 1.4568 10.3605
Ge 5.6965 3.2188 8.4686
La 2.3046 4.5622 8.4258
Ge 2.5685 1.0377 2.8534
La 3.9514 3.9507 2.8046
Ge -0.0387 0.0000 5.6769
La 5.4931 5.7246 10.4447
La 0.7460 0.3058 8.5433
La 2.3651 7.0448 4.8295
Ge 0.5596 5.2942 2.7617
La 0.7629 2.7883 0.7857
Pd 3.1280 4.2565 5.6152
La 0.7161 2.7997 4.7453
```

- DOS at the Fermi energy (states/eV/atom) = 1.059
- calculated formation energy (meV per atom) = -621
- mass density (g cm⁻³) = 6.28
- crystal system = monoclinic

# 4
Entry from Alexandria via LeMat-Bulk: a relaxed structure of La2Ge3Pd (PBE).

```
12
Lattice="6.1259 0.1326 0.0000 -0.1054 6.1265 0.0000 -3.0103 -3.1296 7.4834" Properties=species:S:1:pos:R:3 pbc="T T T"
La -0.0527 3.0632 3.7417
La 3.0630 0.0663 3.7417
Pd 3.0103 3.1296 2.4952
Pd 0.0000 0.0000 4.9883
Ge 3.0103 3.1296 4.9736
Ge -1.5463 1.4874 6.2296
La 4.5320 4.7116 0.0000
Ge 1.4640 4.6169 1.2539
Ge 4.5566 1.6422 1.2539
Ge 1.5463 -1.4874 6.2296
Ge 0.0000 0.0000 2.5098
La 1.4886 1.5475 0.0000
```

- DOS at the Fermi energy (states/eV/atom) = 0.683
- calculated formation energy (meV per atom) = -898
- mass density (g cm⁻³) = 7.12
- crystal system = orthorhombic

# 5
Entry from Alexandria via LeMat-Bulk: a relaxed structure of LaGePd2 (PBE).

```
8
Lattice="4.8243 0.0000 0.0000 0.0000 4.8243 0.0000 2.4122 2.4122 8.2682" Properties=species:S:1:pos:R:3 pbc="T T T"
Pd 3.6182 4.2223 6.2012
La 0.0000 0.0000 0.0000
Pd 1.8101 3.6182 2.0671
Pd 6.0304 5.4264 6.2012
Ge 2.4122 4.8243 4.1341
Ge 2.4122 2.4122 0.0000
Pd 3.0142 1.2061 2.0671
La 4.8243 2.4122 4.1341
```

- DOS at the Fermi energy (states/eV/atom) = 0.673
- calculated formation energy (meV per atom) = -545
- mass density (g cm⁻³) = 7.32
- crystal system = tetragonal

# 6
Entry from Alexandria via LeMat-Bulk: a relaxed structure of La3Ge2Pd5 (PBE).

```
20
Lattice="6.0349 0.0000 0.0000 3.0174 8.4994 -1.1335 3.0174 1.1626 8.4955" Properties=species:S:1:pos:R:3 pbc="T T T"
La 6.0349 4.4489 6.4398
Ge 9.0523 3.6958 7.9437
Pd 10.5610 7.4538 5.6794
La 6.0349 5.2131 0.9221
Pd 6.0349 2.4746 3.9728
Ge 3.0174 5.9663 -0.5817
La 3.0174 2.2725 4.7815
Pd 6.0349 7.1874 3.3892
Ge 6.0348 1.0224 5.9067
La 9.0523 7.3896 2.5804
Pd 3.0174 4.4870 1.3316
La 4.5261 0.0000 0.0000
Pd 4.5261 4.8310 3.6810
Pd 1.5087 2.2082 1.6825
Pd 7.5436 4.8310 3.6810
La 1.5087 0.0000 0.0000
Pd 7.5436 7.4538 5.6794
Pd 4.5261 2.2082 1.6825
Ge 6.0349 8.6396 1.4552
Pd 9.0523 5.1750 6.0303
```

- DOS at the Fermi energy (states/eV/atom) = 0.807
- calculated formation energy (meV per atom) = -627
- mass density (g cm⁻³) = 8.19
- crystal system = orthorhombic

# 7
Entry from Alexandria via LeMat-Bulk: a relaxed structure of La3Ge7Pd2 (PBE).

```
12
Lattice="-0.4876 -2.8002 -3.3813 2.1801 -3.1089 2.2603 -12.6104 -2.6527 4.0153" Properties=species:S:1:pos:R:3 pbc="T T T"
Ge -4.3256 -4.8417 1.7481
Ge 0.0000 0.0000 0.0000
La 0.8462 -2.9546 -0.5605
Pd -2.1449 -4.0745 0.7983
Ge -2.1992 -2.1191 -0.8133
Pd -8.7730 -4.4872 2.0959
Ge -6.5923 -3.7201 1.1461
Ge -9.4836 -3.6058 4.3537
Ge -8.7187 -6.4427 3.7075
Ge -0.9467 -2.1558 1.9218
La -6.2046 -4.2334 4.4006
La -4.2257 -1.5282 1.8749
```

- DOS at the Fermi energy (states/eV/atom) = 0.417
- calculated formation energy (meV per atom) = -711
- mass density (g cm⁻³) = 7.28
- crystal system = monoclinic

# 8
Entry from Alexandria via LeMat-Bulk: a relaxed structure of LaGePd3 (PBE).

```
5
Lattice="-1.2439 -0.8358 -4.5154 -2.9068 -3.4782 1.4446 -3.5550 3.1365 0.3987" Properties=species:S:1:pos:R:3 pbc="T T T"
Pd -1.4534 -1.7391 0.7223
Pd -0.6219 -0.4179 -2.2577
La -3.8528 -0.5888 -1.3360
Pd -1.7775 1.5683 0.1994
Ge 0.0000 0.0000 0.0000
```

- DOS at the Fermi energy (states/eV/atom) = 0.572
- calculated formation energy (meV per atom) = -537
- mass density (g cm⁻³) = 8.19
- crystal system = cubic
- relative energy among the computed polymorphs (meV/atom) = 253